Record 1
An optimized crystal structure of Sr2YAgN, computed with PBE.

a b c (Å): 5.3748 5.3748 4.6584
angles (deg): 90.00 90.00 90.00
Closest atoms and distances in Å follow each position.
Fractional positions:
Sr  0.0000  0.5000  0.0000  2 N 2.69
Sr  0.5000  0.0000  0.0000  2 N 2.69
Y  0.0000  0.0000  0.5000  2 N 2.33
Ag  0.5000  0.5000  0.5000  8 Sr 3.56, 4 Y 3.80
N  0.0000  0.0000  0.0000  2 Y 2.33

Results
- Energy relative to the elements, uncorrected: -0.4895 eV per atom

---

Record 2
An optimized crystal structure of Sr2ZnAgN, computed with PBE.

a b c (Å): 5.4047 5.4047 4.0191
angles (deg): 90.00 90.00 90.00
Closest atoms and distances in Å follow each position.
Fractional positions:
Sr  0.0000  0.5000  0.0000  2 N 2.70
Sr  0.5000  0.0000  0.0000  2 N 2.70
Zn  0.0000  0.0000  0.5000  2 N 2.01
Ag  0.5000  0.5000  0.5000  8 Sr 3.37
N  0.0000  0.0000  0.0000  2 Zn 2.01

Results
- Energy relative to the elements, uncorrected: -0.2758 eV per atom
- Polymorph energy (0 for the lowest one): 9.1 kJ/mol of atoms

---

Record 3
An optimized crystal structure of Sr2ZnAgN, computed with PBE.

a b c (Å): 6.0984 6.0984 3.6709
angles (deg): 90.00 90.00 90.00
Closest atoms and distances in Å follow each position.
Fractional positions:
Sr  0.0000  0.5000  0.0000  2 Zn 3.05
Sr  0.5000  0.0000  0.0000  2 Zn 3.05
Zn  0.0000  0.0000  0.0000  2 N 1.84
Ag  0.5000  0.5000  0.5000  8 Sr 3.56, 2 Ag 3.67
N  0.0000  0.0000  0.5000  2 Zn 1.84

Results
- Energy relative to the elements, uncorrected: 0.2211 eV per atom
- Polymorph energy (0 for the lowest one): 57.0 kJ/mol of atoms

---

Record 4
An optimized crystal structure of Sr2ZnAgN, computed with PBE.

a b c (Å): 7.4861 3.9495 8.8567
angles (deg): 90.00 109.42 90.00
Closest atoms and distances in Å follow each position.
Fractional positions:
Sr  0.1840  0.2500  0.3731  2 N 2.68
Sr  0.1891  0.2500  0.9654  3 N 2.57-2.69
Sr  0.8109  0.7500  0.0346  3 N 2.57-2.69
Sr  0.8160  0.7500  0.6269  2 N 2.68
Zn  0.4501  0.7500  0.2533  1 N 1.96
Zn  0.5499  0.2500  0.7467  1 N 1.96
Ag  0.3079  0.7500  0.6988  2 Zn 2.62
Ag  0.6921  0.2500  0.3012  2 Zn 2.62
N  0.1734  0.7500  0.1664  1 Zn 1.96
N  0.8266  0.2500  0.8336  1 Zn 1.96

Results
- Energy relative to the elements, uncorrected: -0.3697 eV per atom
- Polymorph energy (0 for the lowest one): 0.0 kJ/mol of atoms

---

Record 5
An optimized crystal structure of TaAgN2, computed with PBE.

a b c (Å): 5.9148 5.9148 5.9148
angles (deg): 128.88 128.88 75.21
Closest atoms and distances in Å follow each position.
Fractional positions:
Ta  0.0000  0.0000  0.0000  4 N 1.96
Ta  0.7500  0.2500  0.5000  4 N 1.96
Ag  0.2500  0.7500  0.5000  4 N 2.39
Ag  0.5000  0.5000  0.0000  4 N 2.39
N  0.0531  0.6250  0.9281  2 Ta 1.96
N  0.3750  0.3031  0.4281  2 Ta 1.96
N  0.6969  0.1250  0.0719  2 Ta 1.96
N  0.8750  0.9469  0.5719  2 Ta 1.96

Results
- Energy relative to the elements, uncorrected: -0.4020 eV per atom
- Polymorph energy (0 for the lowest one): 4.4 kJ/mol of atoms

---

Record 6
An optimized crystal structure of TaAgN2, computed with PBE.

a b c (Å): 6.6176 6.6176 6.6176
angles (deg): 27.63 27.63 27.63
Closest atoms and distances in Å follow each position.
Fractional positions:
Ta  0.0000  0.0000  0.0000  6 N 2.11
Ag  0.5000  0.5000  0.5000  2 N 2.12
N  0.3888  0.3888  0.3888  3 Ta 2.11, 1 Ag 2.12
N  0.6112  0.6112  0.6112  3 Ta 2.11, 1 Ag 2.12

Results
- Energy relative to the elements, uncorrected: -0.4471 eV per atom
- Polymorph energy (0 for the lowest one): 0.0 kJ/mol of atoms

---

Record 7
An optimized crystal structure of TaAg2N2, computed with PBE.

a b c (Å): 5.8402 5.8402 4.4621
angles (deg): 90.00 90.00 90.00
Closest atoms and distances in Å follow each position.
Fractional positions:
Ta  0.0000  0.0000  0.0000  4 N 2.06
Ta  0.5000  0.5000  0.0000  4 N 2.06
Ag  0.2486  0.2514  0.5000  2 N 2.23
Ag  0.2514  0.7514  0.5000  2 N 2.23
Ag  0.7486  0.2486  0.5000  2 N 2.23
Ag  0.7514  0.7486  0.5000  2 N 2.23
N  0.2494  0.2506  0.0000  2 Ta 2.06, 2 Ag 2.23
N  0.2506  0.7506  0.0000  2 Ta 2.06, 2 Ag 2.23
N  0.7494  0.2494  0.0000  2 Ta 2.06, 2 Ag 2.23
N  0.7506  0.7494  0.0000  2 Ta 2.06, 2 Ag 2.23

Results
- Energy relative to the elements, uncorrected: 0.1871 eV per atom
- Polymorph energy (0 for the lowest one): 0.0 kJ/mol of atoms

---

Record 8
An optimized crystal structure of TaAg2N2, computed with PBE.

a b c (Å): 6.3903 6.3903 6.3903
angles (deg): 148.48 148.48 45.17
Closest atoms and distances in Å follow each position.
Fractional positions:
Ta  0.0000  0.0000  0.0000  8 N 2.55
Ag  0.2500  0.7500  0.5000  4 Ag 2.45
Ag  0.7500  0.2500  0.5000  4 Ag 2.45
N  0.4425  0.4425  0.0000  1 N 1.36
N  0.5575  0.5575  0.0000  1 N 1.36

Results
- Energy relative to the elements, uncorrected: 1.0744 eV per atom
- Polymorph energy (0 for the lowest one): 85.6 kJ/mol of atoms

---

| no. | electronic total energy (eV per atom) |
| --- | --- |
| 1 | -4.69 |
| 2 | -3.44 |
| 3 | -2.94 |
| 4 | -3.53 |
| 5 | -8.24 |
| 6 | -8.29 |
| 7 | -6.65 |
| 8 | -5.77 |